Computed, not measured: an optimized crystal structure of NbHgS3 at the PBEsol level of DFT.

Values from the calculation:
Space-group type   Pm-3m, No. 221
Formation energy (no corrections)   -0.26 eV per atom
Crystal system   cubic
N(E_F)   4.1 states/eV/cell
V   21.9 A^3/atom

a b c (Å): 4.782 4.782 4.782
angles (deg): 90.00 90.00 90.00
Positions (direct):
Nb1 0.000 0.000 0.000
Hg1 0.500 0.500 0.500
S1 0.000 0.000 0.500
S2 0.000 0.500 0.000
S3 0.500 0.000 0.000

***

Computed, not measured: an optimized crystal structure of TaAlMo2 at the PBEsol level of DFT.

Values from the calculation:
Space-group type   Imm2, No. 44
Crystal system   orthorhombic
DFT formation energy   -0.1403 eV/atom
N(E_F)   2.3 states/eV/cell
V   15.8 A^3/atom

a b c (Å): 5.211 5.211 5.211
angles (deg): 143.90 130.02 63.19
Positions (direct):
Ta1 0.000 0.000 0.000
Al1 0.269 0.769 0.500
Mo1 0.526 0.526 0.000
Mo2 0.755 0.255 0.500

***

Computed, not measured: an optimized crystal structure of LiSeNO2 at the PBEsol level of DFT.

Values from the calculation:
Space-group type   P4/mmm, No. 123
Formation energy (no corrections)   0.04 eV per atom
Crystal system   tetragonal
N(E_F)   2.2 states/eV/cell
V   10.5 A^3/atom

a b c (Å): 3.795 3.795 3.646
angles (deg): 90.00 90.00 90.00
Positions (direct):
Li1 0.000 0.000 0.000
Se1 0.500 0.500 0.500
N1 0.500 0.500 0.000
O1 0.000 0.500 0.500
O2 0.500 0.000 0.500

***

Computed, not measured: an optimized crystal structure of Tc2MoP at the PBEsol level of DFT.

Values from the calculation:
Space-group type   Pmmm, No. 47
Crystal system   orthorhombic
DFT formation energy   -0.0216 eV/atom
N(E_F)   3.5 states/eV/cell
V   13.7 A^3/atom

a b c (Å): 2.973 4.226 4.347
angles (deg): 90.00 90.00 90.00
Positions (direct):
Tc1 0.000 0.000 0.000
Tc2 0.500 0.000 0.500
Mo1 0.000 0.500 0.500
P1 0.500 0.500 0.000